(1)
5
Lattice="-1.7968 2.5732 -3.5479 -3.3177 -3.3041 -0.7162 -2.8639 2.2133 3.0556" Properties=species:S:1:pos:R:3 comment="AlP3I | Alexandria | PBE | relaxed" e_form_raw_ev_per_atom=0.78 dos_ef_per_ev_fu=3.5 pbc="T T T"
P -0.8984 1.2866 -1.7739
P -1.6589 -1.6520 -0.3581
P -1.4319 1.1067 1.5278
Al 0.0000 0.0000 0.0000
I -3.9892 0.7412 -0.6042

***

(2)
5
Lattice="-3.2806 3.7511 2.5275 -2.9887 -4.1412 2.2669 3.3951 -0.0210 4.4378" Properties=species:S:1:pos:R:3 comment="AlPI3 | Alexandria | PBE | relaxed" e_form_raw_ev_per_atom=0.24 dos_ef_per_ev_fu=1.5 pbc="T T T"
I -1.6403 1.8756 1.2637
I -1.4944 -2.0706 1.1334
I 1.6975 -0.0105 2.2189
P 0.0000 0.0000 0.0000
Al -1.4371 -0.2055 4.6161

***

(3)
96
Lattice="-7.1901 -8.4678 -1.5022 5.0685 -7.5294 18.1832 -15.9143 11.8550 9.3451" Properties=species:S:1:pos:R:3 comment="AlP2I9 | Alexandria | PBE | relaxed" e_form_raw_ev_per_atom=-0.28 dos_ef_per_ev_fu=0.0 pbc="T T T"
I -14.9817 -2.3960 22.3246
I 0.4184 -7.1047 16.5780
I -6.8975 -8.5669 18.0119
I -16.0156 -0.9148 18.5197
I -2.0203 -3.2274 7.5064
I -7.5637 -1.0100 20.8308
I -12.0639 -0.6073 19.8540
I -5.7638 -1.9591 9.7539
I -11.0080 -0.7419 12.8942
I -14.1777 9.5638 13.3013
I -15.1848 6.1431 9.1749
I -6.7544 -8.1331 7.4735
I -3.3426 -6.0159 8.9456
I -15.2310 -1.1524 13.1949
I -7.0408 -4.4231 17.4559
I -9.3362 -4.6895 8.9402
I -7.0278 -3.4004 13.1320
I -10.5635 -7.5488 10.3236
I -12.2192 3.5160 14.2885
I -11.2814 3.9908 18.5526
I -6.3369 4.1627 4.7142
I -11.9444 -7.5866 16.9340
I -7.4723 3.4066 15.7025
I -18.4542 2.9625 9.4481
I -6.6359 -7.7268 1.4376
I -8.9466 -4.5951 2.5216
I -10.4722 -3.1322 5.1953
I -7.9641 -6.9278 14.2815
I -8.6997 0.5473 17.0859
I 2.6389 -5.7208 18.7574
I -5.9347 0.0733 3.6152
I -11.1383 4.4247 8.0143
I -12.2720 -2.1832 16.2722
I -3.9760 -6.7289 15.6501
I -12.9970 -0.4260 24.9363
I -14.0598 2.5866 10.3760
I -5.9720 -3.5350 6.1721
I -11.0914 7.2874 11.4950
I -11.6990 -8.3049 21.3119
I -16.1755 -0.0309 6.8945
I -10.9950 0.2809 8.5702
I -5.8166 -7.6582 11.7377
I -12.3061 7.1370 16.5185
I -12.1011 -4.2155 22.4110
I -4.7330 -0.4263 15.2872
I -13.3028 -3.7160 10.7389
I -6.0914 3.4444 9.0921
I -14.6932 1.8737 17.0805
I -4.5820 -7.2537 20.1355
I -15.1271 1.6963 21.6651
I -2.8048 -2.9899 12.8312
I -2.8510 -10.2853 16.8512
I -9.1829 1.0825 5.7954
I -9.0893 0.4528 23.5045
I -5.7298 -11.2793 9.5076
I -3.0541 -1.7462 3.7015
I -11.3999 3.5846 24.5885
I -5.0389 -3.7162 1.0898
I -15.8498 5.0933 15.0966
I -17.4898 1.3996 13.2385
I -10.0717 2.7856 11.7447
I -1.8604 -4.1113 19.1316
I -3.0036 1.1658 7.2912
I -13.4538 3.1115 5.8906
I -2.9087 -5.8385 4.3610
I -20.6747 1.5785 7.2687
I -2.1861 -9.2355 10.9295
I -3.8581 -13.7060 12.7248
I -0.5461 -5.5418 12.7876
I -15.0322 -5.3080 18.7349
I -8.8530 -5.2247 20.2307
I -6.9444 -11.4296 14.5311
Al -10.8122 -5.0930 6.8670
Al -7.2236 0.9507 19.1591
Al 0.8601 -5.1648 14.9406
Al -14.4954 -0.5443 20.5671
Al -3.5404 -3.5980 5.4590
Al -11.6241 2.5175 9.6776
Al -18.8959 1.0225 11.0856
Al -6.4117 -6.6598 16.3485
P -8.0917 1.2553 3.5939
P -9.9442 -5.3975 22.4322
P -6.3903 -1.2896 12.0319
P -1.4096 -12.1655 17.4969
P -16.6263 8.0232 8.5292
P -7.9189 -5.7854 0.6303
P -13.7071 -3.0798 13.0839
P -13.8799 3.9608 16.0475
P -15.0241 -0.0823 4.7262
P -13.2478 5.2528 17.7972
P -10.1169 1.6431 25.3958
P -4.7881 -9.3950 8.2289
P -3.0118 -4.0600 21.2999
P -4.1560 -8.1030 9.9786
P -4.3287 -1.0624 12.9422
P -11.6456 -2.8527 13.9942

***

(4)
5
Lattice="5.6251 0.0000 0.0000 0.0000 5.6251 0.0000 0.0000 0.0000 5.6251" Properties=species:S:1:pos:R:3 comment="AlPI3 | Alexandria | PBE | relaxed" e_form_raw_ev_per_atom=0.44 dos_ef_per_ev_fu=4.3 pbc="T T T"
P 2.8125 2.8125 2.8125
Al 0.0000 0.0000 0.0000
I 2.8125 0.0000 0.0000
I 0.0000 2.8125 0.0000
I 0.0000 0.0000 2.8125

***

(5)
40
Lattice="-0.6381 2.3410 11.3171 -0.9334 -11.8721 2.4033 16.2860 -1.0505 1.1356" Properties=species:S:1:pos:R:3 comment="AlPI8 | Alexandria | PBE | relaxed" e_form_raw_ev_per_atom=-0.32 pbc="T T T"
I -0.1091 -3.3821 1.0573
I 6.2360 -9.8106 8.5679
I 12.4540 -10.0148 12.0205
I 12.4300 -3.0687 6.0935
I 9.4707 -6.3903 4.3096
I 10.0641 -4.4004 11.8362
I 0.5875 -10.0536 10.4852
I -0.8556 -8.2916 7.2219
I 2.3681 -6.0340 2.8606
I 2.6751 0.4876 4.4897
I 14.9580 -8.2007 2.8081
I 4.9521 -6.5635 4.9647
I 6.5500 -4.6671 8.3603
I 3.7278 -7.6061 8.8631
I 6.4126 -2.8102 12.5120
I 7.0430 -6.6976 13.2561
I 5.4585 -0.7731 3.0585
I 14.7565 -6.3398 6.9553
I 5.8835 -9.8705 13.1039
I 7.7894 -1.7882 7.0915
I 15.1345 -1.2004 6.7521
I 11.2809 -1.5998 1.2579
I 12.1573 -9.7159 3.8563
I 2.4975 -3.9921 7.1759
I 15.4229 -1.1363 2.2117
I 9.7569 -10.9220 10.2072
I 12.9604 -4.2244 10.1142
I 4.0006 -0.9588 11.1003
I 10.5265 -6.4805 7.5622
I 1.7430 -8.8727 13.4802
I 0.9995 -3.9175 10.2505
I 9.8830 -0.2542 4.0749
Al 11.8723 -9.8371 14.5159
Al 4.4265 -5.6730 7.3158
Al 12.6553 -5.0613 7.7052
Al 5.2095 -0.8973 0.5051
P -0.0058 -3.3977 12.4445
P -0.1638 -10.4666 8.1700
P 8.8781 0.2720 6.2676
P 8.7202 -6.7969 1.9931

***

(6)
5
Lattice="5.4810 0.0000 0.0000 0.0000 5.4810 0.0000 0.0000 0.0000 5.4810" Properties=species:S:1:pos:R:3 comment="Al3PI | Alexandria | PBE | relaxed" e_form_raw_ev_per_atom=1.44 dos_ef_per_ev_fu=5.2 pbc="T T T"
Al 0.0000 0.0000 2.7405
Al 2.7405 0.0000 0.0000
Al 0.0000 2.7405 0.0000
I 0.0000 0.0000 0.0000
P 2.7405 2.7405 2.7405

***

(7)
8
Lattice="-2.4827 4.1501 2.3414 -4.5206 -2.8862 0.3224 -0.9481 -2.4539 9.5095" Properties=species:S:1:pos:R:3 comment="AlPI2 | Alexandria | PBE | relaxed" e_form_raw_ev_per_atom=0.60 dos_ef_per_ev_fu=1.1 pbc="T T T"
I -3.2433 -1.3065 8.1243
I -2.4055 1.7059 3.9297
I -3.3211 -1.9849 2.8228
I -6.9330 -0.7946 9.4696
P 0.0000 0.0000 0.0000
P -3.4663 1.1641 6.5914
Al -4.4852 -2.3541 5.5819
Al -3.5016 0.6320 1.3319

***

(8)
4
Lattice="4.7154 -1.7473 1.4808 0.8380 -1.3740 4.9890 0.6492 -5.0483 1.2547" Properties=species:S:1:pos:R:3 comment="AlPI2 | Alexandria | PBE | relaxed" e_form_raw_ev_per_atom=0.70 dos_ef_per_ev_fu=4.2 pbc="T T T"
P 3.1013 -4.0848 3.8623
Al 0.0000 0.0000 0.0000
I 4.6520 -6.1272 5.7935
I 1.5507 -2.0424 1.9312